1.
# LaDyErCu

LaDyErCu after structural relaxation (PBE-GGA, the Alexandria database).

Lattice parameters (Å, degrees): 3.5235 3.5235 8.7983 90.00 90.00 90.00
Space group P4mm (No. 99)
Asymmetric unit:
La 0.0000 0.0000 0.0000
Dy 0.5000 0.5000 0.6863
Er 0.5000 0.5000 0.3113
Cu 0.0000 0.0000 0.4939

Output
ΔE_f   -0.099 eV per atom

=====

2.
# Zr3Ag5Se12

Zr3Ag5Se12 after structural relaxation (PBE-GGA, the Alexandria database).

Lattice parameters (Å, degrees): 15.7620 15.7620 15.7620 90.00 90.00 90.00
Space group Ia-3d (No. 230)
Asymmetric unit:
Zr 0.0000 0.2500 0.1250
Ag 0.0000 0.0000 0.0000
Ag 0.0000 0.2500 0.3750
Se 0.0151 0.0732 0.6559

Output
Raw formation energy   -8.26 eV/f.u.

=====

3.
# LiBe3Hg

LiBe3Hg after structural relaxation (PBE-GGA, the Alexandria database).

Lattice parameters (Å, degrees): 4.4759 4.4759 4.4759 90.00 90.00 90.00
Space group Pm-3m (No. 221)
Asymmetric unit:
Li 0.0000 0.0000 0.0000
Be 0.0000 0.5000 0.5000
Hg 0.5000 0.5000 0.5000

Output
Offset from the most stable computed form   0.000 eV/atom
ΔE_f   0.751 eV per atom

=====

4.
# TiCrB3

TiCrB3 after structural relaxation (PBE-GGA, the Alexandria database).

Lattice parameters (Å, degrees): 3.9132 3.9132 3.9132 90.00 90.00 90.00
Space group Pm-3m (No. 221)
Asymmetric unit:
Ti 0.0000 0.0000 0.0000
Cr 0.5000 0.5000 0.5000
B 0.0000 0.0000 0.5000

Output
Offset from the most stable computed form   2.517 eV/atom
ΔE_f   1.718 eV per atom

=====

Copy entry 4 word for word.
# TiCrB3

TiCrB3 after structural relaxation (PBE-GGA, the Alexandria database).

Lattice parameters (Å, degrees): 3.9132 3.9132 3.9132 90.00 90.00 90.00
Space group Pm-3m (No. 221)
Asymmetric unit:
Ti 0.0000 0.0000 0.0000
Cr 0.5000 0.5000 0.5000
B 0.0000 0.0000 0.5000

Output
Offset from the most stable computed form   2.517 eV/atom
ΔE_f   1.718 eV per atom